DFT (GGA+U) results for a relaxed Mn4CdO8 crystal.

Properties
- raw total energy (eV per atom) = -6.779
- theoretical density (Mg/m³) = 4.4
- total moment (Bohr magnetons per cell) = 42.0
- density of states at the Fermi level (states/eV/cell) = 9.5

a = 6.0083 Å, b = 6.0083 Å, c = 16.5850 Å
α = 90.00°, β = 90.00°, γ = 120.00°
Closest atoms and distances in Å follow each position.
Space group R-3m (No. 166, hexagonal axes)
Asymmetric unit:
Mn: 0.0000 0.0000 0.0000 x3  6 O 2.13
Mn: 0.0000 0.5000 0.0000 x9  6 O 1.96-1.99
Cd: 0.0000 0.0000 0.5000 x3  6 O 2.37
O: 0.0000 0.0000 0.2741 x6  3 Mn 1.99
O: 0.0264 0.5132 0.2720 x18  3 Mn 1.96-2.13